Record 1
A geometry-optimized SrTbHo2S4 structure, computed with PBE-GGA.

Computed properties:
For the calculated volume, the calculation gives 22.24 Å³/atom. Its uncorrected energy is -47.885 eV/cell.

```
data_SrTbHo2S4
_cell_length_a 6.899
_cell_length_b 3.954
_cell_length_c 6.902
_cell_angle_alpha 90.00
_cell_angle_beta 109.06
_cell_angle_gamma 90.00
_symmetry_space_group_name_H-M 'P 1 2/m 1'
_symmetry_Int_Tables_number 10
loop_
_symmetry_equiv_pos_as_xyz
'x,y,z'
'-x,-y,-z'
'-x,y,-z'
'x,-y,z'
loop_
_atom_site_label
_atom_site_type_symbol
_atom_site_fract_x
_atom_site_fract_y
_atom_site_fract_z
Sr1 Sr 0.000 0.000 0.000
Tb1 Tb 0.500 0.500 0.000
Ho1 Ho 0.000 0.500 0.500
Ho2 Ho 0.500 0.000 0.500
S1 S 0.253 0.000 0.741
S2 S 0.262 0.500 0.265
```

---

Record 2
A geometry-optimized BC2 structure, computed with PBE-GGA.

Computed properties:
For the calculated volume, the calculation gives 6.39 Å³/atom. The value obtained for the energy above the most stable polymorph in this dataset is 0.066 eV per atom. The formation energy comes out at 0.306 eV per atom.

```
data_BC2
_cell_length_a 8.655
_cell_length_b 2.529
_cell_length_c 7.849
_cell_angle_alpha 90.00
_cell_angle_beta 116.80
_cell_angle_gamma 90.00
_symmetry_space_group_name_H-M 'C 1 m 1'
_symmetry_Int_Tables_number 8
loop_
_symmetry_equiv_pos_as_xyz
'x,y,z'
'x,-y,z'
'x+1/2,y+1/2,z'
'x+1/2,-y+1/2,z'
loop_
_atom_site_label
_atom_site_type_symbol
_atom_site_fract_x
_atom_site_fract_y
_atom_site_fract_z
B1 B 0.000 0.000 0.000
B2 B 0.018 0.500 0.373
B3 B 0.171 0.000 0.705
B4 B 0.351 0.500 0.549
C1 C 0.005 0.000 0.494
C2 C 0.005 0.500 0.864
C3 C 0.170 0.500 0.846
C4 C 0.173 0.500 0.309
C5 C 0.188 0.000 0.213
C6 C 0.331 0.000 0.151
C7 C 0.332 0.500 0.040
C8 C 0.345 0.000 0.679
```

---

Record 3
A geometry-optimized SbMoPt2 structure, computed with PBE-GGA.

Computed properties:
For the calculated volume, the calculation gives 17.02 Å³/atom. Its uncorrected energy is -53.832 eV/cell.

```
data_SbMoPt2
_cell_length_a 4.001
_cell_length_b 4.022
_cell_length_c 8.461
_cell_angle_alpha 90.00
_cell_angle_beta 90.00
_cell_angle_gamma 90.00
_symmetry_space_group_name_H-M 'I m m m'
_symmetry_Int_Tables_number 71
_symmetry_space_group_name_Hall '-I 2 2'
loop_
_atom_site_label
_atom_site_type_symbol
_atom_site_fract_x
_atom_site_fract_y
_atom_site_fract_z
Sb1 Sb 0.000 0.000 0.000
Mo1 Mo 0.000 0.000 0.500
Pt1 Pt 0.000 0.500 0.251
```

---

Record 4
A geometry-optimized Pm2Ga12Pd structure, computed with PBE-GGA.

Computed properties:
For the calculated volume, the calculation gives 19.54 Å³/atom. The formation energy comes out at -0.421 eV per atom.

```
data_Pm2Ga12Pd
_cell_length_a 6.170
_cell_length_b 6.170
_cell_length_c 15.400
_cell_angle_alpha 90.00
_cell_angle_beta 90.00
_cell_angle_gamma 90.00
_symmetry_space_group_name_H-M 'P 4/n b m'
_symmetry_Int_Tables_number 125
loop_
_symmetry_equiv_pos_as_xyz
'x,y,z'
'-x,-y,-z'
'-y+1/2,x,z'
'y+1/2,-x,-z'
'-x+1/2,-y+1/2,z'
'x+1/2,y+1/2,-z'
'y,-x+1/2,z'
'-y,x+1/2,-z'
'x,-y+1/2,-z'
'-x,y+1/2,z'
'-y+1/2,-x+1/2,-z'
'y+1/2,x+1/2,z'
'-x+1/2,y,-z'
'x+1/2,-y,z'
'y,x,-z'
'-y,-x,z'
loop_
_atom_site_label
_atom_site_type_symbol
_atom_site_fract_x
_atom_site_fract_y
_atom_site_fract_z
Pm1 Pm 0.250 0.750 0.243
Ga1 Ga 0.000 0.000 0.089
Ga2 Ga 0.083 0.583 0.431
Ga3 Ga 0.250 0.250 0.187
Ga4 Ga 0.250 0.250 0.347
Pd1 Pd 0.250 0.750 0.000
```